Record 1
NbHgAs: optimized geometry, PBE.

## Properties
E above lowest polymorph ... 0 meV/atom
Energy ... -4.651 eV per atom

Cell: 4.5890 4.5890 4.5890 Å, 60.00 60.00 60.00°
Positions (direct):
Hg (0.7500, 0.7500, 0.7500)
As (0.2500, 0.2500, 0.2500)
Nb (0.0000, 0.0000, 0.0000)

---

Record 2
NbNiHgAs: optimized geometry, PBE.

## Properties
E above lowest polymorph ... 0 meV/atom
Energy ... -4.923 eV per atom

Cell: 4.5534 4.5534 4.5534 Å, 60.00 60.00 60.00°
Positions (direct):
As (0.0000, 0.0000, 0.0000)
Nb (0.2500, 0.2500, 0.2500)
Hg (0.5000, 0.5000, 0.5000)
Ni (0.7500, 0.7500, 0.7500)

---

The lowest energy belongs to which entry? NbNiHgAs